Ba2Fe2F: relaxed, PBE with a Hubbard U.

The structure belongs to space group P4/mbm (No. 127); the cell edges are 7.824, 7.824 and 5.317 Å and the angles 90.00°, 90.00° and 90.00°. The asymmetric unit holds Ba at (0.190, 0.310, 0.000), Fe at (0.118, 0.618, 0.500) and F at (0.000, 0.000, 0.000).

As for the calculated total energy: -3.663 eV per atom. For the total magnetization, the calculation gives 6.19 μB per formula unit. The energy above the most stable polymorph in this dataset is 55.7 meV per atom.